[1]
DFT (PBE-GGA) results for crystalline Sm2ErScBi4 at its relaxed geometry.

Lattice parameters (Å, degrees): 7.718 4.467 7.733 90.00 109.51 90.00
Atoms (fractional coordinates):
Sm  0.000  0.000  0.000
Sm  0.000  0.500  0.500
Er  0.500  0.000  0.500
Sc  0.500  0.500  0.000
Bi  0.262  0.500  0.248
Bi  0.266  0.000  0.761
Bi  0.734  0.000  0.239
Bi  0.738  0.500  0.752



[2]
DFT (PBE-GGA) results for crystalline Sm2ErSc3Bi6 at its relaxed geometry.

Lattice parameters (Å, degrees): 7.624 7.624 7.601 99.63 99.63 120.04
Atoms (fractional coordinates):
Sm  0.166  0.834  0.000
Sm  0.834  0.166  0.000
Er  0.500  0.500  0.000
Sc  0.000  0.000  0.500
Sc  0.331  0.669  0.500
Sc  0.669  0.331  0.500
Bi  0.083  0.411  0.733
Bi  0.262  0.262  0.269
Bi  0.411  0.083  0.733
Bi  0.589  0.917  0.267
Bi  0.738  0.738  0.731
Bi  0.917  0.589  0.267



[3]
DFT (PBE-GGA) results for crystalline Sm2ErScBi5 at its relaxed geometry.

Lattice parameters (Å, degrees): 5.445 5.445 11.519 90.00 90.00 90.00
Atoms (fractional coordinates):
Sm  0.000  0.000  0.221
Sm  0.000  0.000  0.779
Er  0.500  0.500  0.000
Sc  0.500  0.500  0.500
Bi  0.000  0.000  0.500
Bi  0.000  0.500  0.000
Bi  0.500  0.000  0.000
Bi  0.500  0.500  0.260
Bi  0.500  0.500  0.740



[4]
DFT (PBE-GGA) results for crystalline Tb2ErScBi5 at its relaxed geometry.

Lattice parameters (Å, degrees): 5.437 5.437 11.467 90.00 90.00 90.00
Atoms (fractional coordinates):
Tb  0.000  0.000  0.222
Tb  0.000  0.000  0.778
Er  0.500  0.500  0.000
Sc  0.500  0.500  0.500
Bi  0.000  0.000  0.500
Bi  0.000  0.500  0.000
Bi  0.500  0.000  0.000
Bi  0.500  0.500  0.260
Bi  0.500  0.500  0.740



D(E_F): 1.369, 2.090, 7.060, 7.181 (states/eV per cell)
Volume: 251.27, 360.44, 341.56, 338.95 (Å³/f.u.)
Formation energy from the elements: -0.8205, -0.7665, -0.0389, 0.0343 (eV per atom)